No. 1
Ca2MoAs2: relaxed, PBE.

```
Ca2MoAs2
1.0
6.8973 0.0000 0.0000
0.0000 6.8973 0.0000
0.0000 0.0000 4.4605
Ca Mo As
4 2 4
Cartesian
1.1713 4.6200 2.2302
2.2773 1.1713 2.2302
4.6200 5.7260 2.2302
5.7260 2.2773 2.2302
3.4487 3.4487 0.0000
0.0000 0.0000 0.0000
5.8940 4.4520 0.0000
4.4520 1.0033 0.0000
2.4454 5.8940 0.0000
1.0033 2.4454 0.0000
```

* energy of formation from the pure elements: -54.0 kJ/mol of atoms
* DOS(E_F): 3.263 states/eV/cell

---

No. 2
Mg2ReIr: relaxed, PBE.

```
Mg2ReIr
1.0
9.2024 0.0001 0.0000
8.7646 2.8048 0.0000
8.7646 1.3682 2.4484
Mg Ir Re
2 1 1
Cartesian
13.2842 2.0738 1.2168
0.0816 0.0127 0.0075
20.0486 3.1298 1.8363
6.6829 1.0433 0.6121
```

* energy of formation from the pure elements: 9.0 kJ/mol of atoms
* DOS(E_F): 4.360 states/eV/cell

---

No. 3
CsCe2C2N6: relaxed, PBE.

```
CsCe2C2N6
1.0
-0.9529 4.1617 4.4314
-4.1309 -1.0525 4.3740
5.6358 -0.9311 2.0858
N Ce C Cs
6 2 2 1
Cartesian
-1.2381 1.9593 4.8320
0.5431 3.3834 5.4847
0.0089 -1.2053 5.4066
-1.5965 3.5253 6.4991
2.1484 -1.3472 4.3922
1.7901 0.2187 6.0593
2.2773 2.3262 6.8500
-1.7253 -0.1482 4.0413
1.2873 -0.7758 5.2779
-0.7354 2.9538 5.6134
2.3414 1.6153 3.2586
```

* E_form (uncorrected): -0.516 eV/atom
* DOS(E_F): 7.713 states/eV/cell

---

No. 4
Ce8Ir2Rh: relaxed, PBE.

```
Ce8Ir2Rh
1.0
0.6635 3.6467 -4.3505
-0.4247 -6.4422 -3.7487
-6.4424 2.4976 2.8270
Ir Ce Rh
2 8 1
Cartesian
-4.2318 1.4897 -1.4207
-2.0085 -1.8132 -3.8502
-0.2757 0.4011 -3.4180
-3.8049 0.5558 -4.2377
-4.6682 -2.6549 -3.2832
-2.4409 -0.8790 -1.0388
-5.9695 -0.7218 -1.8613
-5.1071 0.4627 1.3359
-1.5769 2.3342 -1.9962
-1.8104 -4.4347 -2.2664
-0.0210 -0.0117 -0.0032
```

* energy of formation from the pure elements: -36.7 kJ/mol of atoms
* DOS(E_F): 29.155 states/eV/cell

---

No. 5
La6Tl2Cu: relaxed, PBE.

```
La6Tl2Cu
1.0
4.5238 0.0000 0.0000
0.0000 8.5855 0.0000
0.0000 -4.2928 7.4344
La Cu Tl
6 1 2
Cartesian
2.2619 4.9651 0.0000
0.0000 3.2879 5.6950
0.0000 2.0101 0.0000
0.0000 7.5807 1.7394
2.2619 6.1024 4.3002
2.2619 1.8096 3.1342
2.2619 0.0013 0.0000
0.0000 -0.0001 4.9559
0.0000 4.2926 2.4785
```

* energy of formation from the pure elements: -21.8 kJ/mol of atoms
* DOS(E_F): 10.558 states/eV/cell

---

No. 6
CeTc2Ge: relaxed, PBE.

```
CeTc2Ge
1.0
4.5882 0.0000 0.0000
2.2941 3.9735 0.0000
2.2941 1.3245 3.7462
Ge Tc Ce
1 2 1
Cartesian
4.5882 2.6490 1.8731
2.2941 1.3245 0.9366
6.8823 3.9735 2.8097
0.0000 0.0000 0.0000
```

* energy of formation from the pure elements: -9.2 kJ/mol of atoms
* DOS(E_F): 7.251 states/eV/cell

---

No. 7
RbNa2TmF6: relaxed, PBE.

```
RbNa2TmF6
1.0
6.0487 0.0005 0.0007
3.0247 5.2374 0.0002
3.0248 1.7462 5.4109
Na Tm F Rb
2 1 6 1
Cartesian
6.0490 3.4920 2.2986
3.0249 1.7465 5.1986
3.0245 1.7459 0.2176
4.4839 3.1311 4.1793
7.1450 2.3169 4.1793
6.5196 5.0283 4.1793
4.9410 1.7397 1.2016
8.1202 3.4094 1.2018
5.0852 5.3266 1.2013
9.0735 5.2379 3.2838
```

* E_form (uncorrected): -3.322 eV/atom
* DOS(E_F): 0.000 states/eV/cell

---

No. 8
Dy8Y6Tm: relaxed, PBE.

```
Dy8Y6Tm
1.0
-3.8537 -3.3742 2.6503
4.9116 -7.9979 -3.0371
2.2658 4.1965 8.6344
Y Dy Tm
6 8 1
Cartesian
3.3181 -7.1522 5.4381
4.4558 -3.3029 5.1067
0.0055 -0.0234 2.8096
-1.1322 -3.8727 3.1409
2.3722 1.4366 8.1101
0.9514 -8.6122 0.1375
1.0592 -6.5337 2.8964
1.0720 -1.7057 8.6423
-1.3223 -1.2522 5.7380
2.1575 -3.0621 2.5327
2.2644 -0.6419 5.3512
4.6459 -5.9234 2.5096
2.2516 -5.4699 -0.3947
1.1661 -4.1135 5.7150
-1.9269 -1.6871 1.3252
```

* energy of formation from the pure elements: 16.9 kJ/mol of atoms
* DOS(E_F): 24.474 states/eV/cell